PBE Pm4Ru2N, optimized geometry; space-group type = No. 139; raw formation energy = -281 meV per atom
1.0
-2.555 -3.662 -1.756
1.978 0.690 -4.317
5.583 -3.026 4.742
Pm N Ru
4 1 2
Direct
0.817 0.817 0.633 Pm
0.500 0.000 0.000 Pm
0.183 0.183 0.367 Pm
0.000 0.500 0.000 Pm
0.000 0.000 0.000 N
0.628 0.628 0.257 Ru
0.372 0.372 0.743 Ru

PBE Ca3InAu, optimized geometry; formation enthalpy at 0 K = -318 meV per atom; energy relative to the lowest polymorph listed for this composition = 0 meV/atom; space-group type = No. 221
1.0
5.653 0.000 0.000
0.000 5.653 0.000
0.000 0.000 5.653
In Ca Au
1 3 1
Direct
0.500 0.500 0.500 In
0.000 0.500 0.000 Ca
0.000 0.000 0.500 Ca
0.500 0.000 0.000 Ca
0.000 0.000 0.000 Au

PBE Ac6SiC2Cl3, optimized geometry; space-group type = No. 12; raw formation energy = -915 meV per atom
1.0
4.177 0.000 0.000
0.000 9.031 -0.084
-2.088 -3.003 9.244
Ac Cl C Si
6 3 2 1
Direct
0.320 0.445 0.639 Ac
0.978 0.747 0.956 Ac
0.333 0.871 0.667 Ac
0.022 0.253 0.044 Ac
0.680 0.555 0.361 Ac
0.667 0.129 0.333 Ac
0.500 0.500 0.000 Cl
0.837 0.168 0.674 Cl
0.163 0.832 0.326 Cl
0.172 0.337 0.343 C
0.828 0.663 0.657 C
0.500 0.000 0.000 Si

PBE TbScAlCd, optimized geometry; formation enthalpy at 0 K = -369 meV per atom; energy relative to the lowest polymorph listed for this composition = 0 meV/atom; space-group type = No. 99
1.0
3.535 0.000 0.000
0.000 3.535 0.000
0.000 0.000 7.312
Al Sc Tb Cd
1 1 1 1
Direct
0.000 0.000 0.550 Al
0.500 0.500 0.331 Sc
0.500 0.500 0.808 Tb
0.000 0.000 0.096 Cd

PBE YMgBRu2, optimized geometry; formation enthalpy at 0 K = -202 meV per atom; space-group type = No. 123
1.0
4.295 0.000 0.000
0.000 4.280 0.000
0.000 0.000 4.295
B Ru Mg Y
1 2 1 1
Direct
0.000 0.000 0.000 B
0.500 0.000 0.000 Ru
0.000 0.000 0.500 Ru
0.000 0.500 0.000 Mg
0.500 0.500 0.500 Y

PBE HfTiRuF2, optimized geometry; space-group type = No. 123; raw formation energy = -1349 meV per atom
1.0
3.832 0.000 0.000
0.000 3.832 0.000
0.000 0.000 5.565
F Ti Ru Hf
2 1 1 1
Direct
0.500 0.000 0.000 F
0.000 0.500 0.000 F
0.000 0.000 0.000 Ti
0.000 0.000 0.500 Ru
0.500 0.500 0.500 Hf

PBE LiOs2Br, optimized geometry; energy relative to the lowest polymorph listed for this composition = 0 meV/atom; space-group type = No. 38; raw formation energy = 328 meV per atom
1.0
3.546 0.000 0.000
0.000 2.939 -0.001
0.000 1.475 6.525
Br Li Os
1 1 2
Direct
0.000 0.274 0.578 Br
0.500 0.694 0.739 Li
0.500 0.475 0.175 Os
0.000 0.058 0.008 Os

PBE NaYZrZn2, optimized geometry; formation enthalpy at 0 K = 841 meV per atom; space-group type = No. 123
1.0
4.798 0.000 0.000
0.000 5.103 0.000
0.000 0.000 4.798
Zn Y Zr Na
2 1 1 1
Direct
0.000 0.000 0.500 Zn
0.500 0.000 0.000 Zn
0.000 0.500 0.000 Y
0.500 0.500 0.500 Zr
0.000 0.000 0.000 Na

We obtain total magnetization values of 0.0000, 0.0000, 0.0000, 0.0000, 0.0000, 0.0000, 0.0000, 0.2751 μB/atom for the records listed above, in that order.
We obtain energy values of -47.85, -13.61, -65.04, -17.09, -34.30, -37.61, -24.73, -14.67 eV/cell for the records listed above, in that order.